[1]
{
  "formula": "K4MnCr",
  "functional": "GGA-PBE",
  "state": "optimized geometry",
  "e_form_ev_per_fu": 6.3,
  "lattice_angstrom": [[-4.893, 1.389, 5.351], [-5.294, 5.036, -1.056], [-7.024, -2.136, -0.776]],
  "species": ["Mn", "K", "K", "K", "K", "Cr"],
  "fractional_positions": [[0.750, 0.750, 0.750], [0.875, 0.375, 0.375], [0.375, 0.375, 0.875], [0.375, 0.375, 0.375], [0.375, 0.875, 0.375], [0.000, 0.000, 0.000]]
}

=====

[2]
{
  "formula": "KMn2Cr",
  "functional": "GGA-PBE",
  "state": "optimized geometry",
  "relative_energy_mev_per_atom": 122.3,
  "e_form_ev_per_fu": 3.1,
  "lattice_angstrom": [[4.142, -0.204, -0.105], [3.256, 2.568, -0.105], [0.726, 0.232, 7.702]],
  "species": ["Mn", "Mn", "K", "Cr"],
  "fractional_positions": [[0.479, 0.479, 0.608], [0.021, 0.021, 0.892], [0.250, 0.250, 0.250], [0.750, 0.750, 0.750]]
}

=====

[3]
{
  "formula": "K2MnCr",
  "functional": "GGA-PBE",
  "state": "optimized geometry",
  "relative_energy_mev_per_atom": 564.6,
  "e_form_ev_per_fu": 4.9,
  "lattice_angstrom": [[-6.879, -0.109, 10.209], [-3.933, -1.078, 11.616], [-4.611, 2.232, 11.194]],
  "species": ["Mn", "K", "K", "Cr"],
  "fractional_positions": [[0.250, 0.250, 0.250], [0.000, 0.000, 0.000], [0.500, 0.500, 0.500], [0.750, 0.750, 0.750]]
}